# Ti3SnPb

A relaxed structure of Ti3SnPb (PBE, the Alexandria database).

```
Ti3SnPb
1.0
5.068 0.000 0.000
0.000 5.068 0.000
-2.534 -2.534 10.266
Ti Sn Pb
6 2 2
direct
0.129 0.379 0.257
0.621 0.871 0.743
0.690 0.690 0.380
0.129 0.878 0.257
0.310 0.310 0.620
0.122 0.871 0.743
0.630 0.130 0.259
0.870 0.370 0.741
0.250 0.750 0.500
0.000 0.000 0.000
```

Output
crystal system	tetragonal
ΔH_f (0 K)	0.36	eV per atom
DOS at the Fermi energy	6.295	states/eV/f.u.